# 1
## CeDyI (GGA-PBE)

Data for a relaxed CeDyI crystal.

Structure (CIF):
```
data_CeDyI
_space_group_name_H-M_alt 'P -6 m 2'
_space_group_IT_number 187
_space_group_name_Hall 'P -6 2'
_cell_length_a 5.3866
_cell_length_b 5.3866
_cell_length_c 3.7222
_cell_angle_alpha 90.00
_cell_angle_beta 90.00
_cell_angle_gamma 120.00
loop_
_atom_site_label
_atom_site_fract_x
_atom_site_fract_y
_atom_site_fract_z
_atom_site_occupancy
Ce1 0.0000 0.0000 0.0000 1
Dy1 0.6667 0.3333 0.5000 1
I1 0.3333 0.6667 0.5000 1
```

Properties
The density of states at the Fermi level comes out at 6.76 states/eV per cell. The value obtained for the energy relative to the lowest polymorph listed for this composition is 261.3 meV/atom. As for the total magnetization: 1.8 Bohr magnetons per cell. As for the uncorrected formation energy: -3.37 kcal/mol of atoms.



# 2
## PmMgCo2H6 (GGA-PBE)

Data for a relaxed PmMgCo2H6 crystal.

Structure (CIF):
```
data_PmMgCo2H6
_space_group_name_H-M_alt 'R -3 m'
_space_group_IT_number 166
_space_group_name_Hall '-R 3 2"'
_cell_length_a 4.4321
_cell_length_b 4.4321
_cell_length_c 15.2702
_cell_angle_alpha 90.00
_cell_angle_beta 90.00
_cell_angle_gamma 120.00
loop_
_atom_site_label
_atom_site_fract_x
_atom_site_fract_y
_atom_site_fract_z
_atom_site_occupancy
Pm1 0.0000 0.0000 0.0000 1
Mg1 0.0000 0.0000 0.5000 1
Co1 0.0000 0.0000 0.2053 1
H1 0.0155 0.5078 0.9334 1
```

Properties
The density of states at the Fermi level comes out at 16.70 states/eV per cell. As for the total magnetization: 0.0 Bohr magnetons per cell. Its electronic total energy is -4.31 eV per atom.



# 3
## TmZn6 (GGA-PBE)

Data for a relaxed TmZn6 crystal.

Structure (CIF):
```
data_TmZn6
_space_group_name_H-M_alt 'P n m a'
_space_group_IT_number 62
_space_group_name_Hall '-P 2ac 2n'
_cell_length_a 8.2714
_cell_length_b 5.3482
_cell_length_c 10.4626
_cell_angle_alpha 90.00
_cell_angle_beta 90.00
_cell_angle_gamma 90.00
loop_
_atom_site_label
_atom_site_fract_x
_atom_site_fract_y
_atom_site_fract_z
_atom_site_occupancy
Tm1 0.2389 0.2500 0.0588 1
Zn1 0.0643 0.7500 0.0907 1
Zn2 0.0664 0.0151 0.3086 1
Zn3 0.0977 0.2500 0.5221 1
Zn4 0.1347 0.7500 0.8536 1
Zn5 0.1898 0.2500 0.7574 1
```

Properties
The density of states at the Fermi level comes out at 10.43 states/eV per cell. The energy relative to the elements is -204 meV/atom. The value obtained for the energy relative to the lowest polymorph listed for this composition is 0.0 meV/atom. As for the total magnetization: 0.0 Bohr magnetons per cell.



# 4
## Pm4AlZn (GGA-PBE)

Data for a relaxed Pm4AlZn crystal.

Structure (CIF):
```
data_Pm4AlZn
_space_group_name_H-M_alt 'C 1 2/m 1'
_space_group_IT_number 12
_space_group_name_Hall '-C 2y'
_cell_length_a 12.9006
_cell_length_b 3.7013
_cell_length_c 7.4547
_cell_angle_alpha 90.00
_cell_angle_beta 106.78
_cell_angle_gamma 90.00
loop_
_atom_site_label
_atom_site_fract_x
_atom_site_fract_y
_atom_site_fract_z
_atom_site_occupancy
Pm1 0.1434 0.0000 0.3249 1
Pm2 0.1474 0.0000 0.8202 1
Al1 0.0000 0.5000 0.0000 1
Zn1 0.0000 0.5000 0.5000 1
```

Properties
The density of states at the Fermi level comes out at 14.45 states/eV per cell. The energy relative to the elements is -195 meV/atom. The value obtained for the energy relative to the lowest polymorph listed for this composition is 0.0 meV/atom. As for the total magnetization: 1.8 Bohr magnetons per cell.



# 5
## TcSn6Ru (GGA-PBE)

Data for a relaxed TcSn6Ru crystal.

Structure (CIF):
```
data_TcSn6Ru
_space_group_name_H-M_alt 'C 1 2/m 1'
_space_group_IT_number 12
_space_group_name_Hall '-C 2y'
_cell_length_a 6.7543
_cell_length_b 9.4260
_cell_length_c 6.7248
_cell_angle_alpha 90.00
_cell_angle_beta 102.04
_cell_angle_gamma 90.00
loop_
_atom_site_label
_atom_site_fract_x
_atom_site_fract_y
_atom_site_fract_z
_atom_site_occupancy
Tc1 0.0000 0.0000 0.0000 1
Sn1 0.2438 0.0000 0.7422 1
Sn2 0.2447 0.3247 0.7514 1
Ru1 0.0000 0.5000 0.5000 1
```

Properties
The density of states at the Fermi level comes out at 9.94 states/eV per cell. The energy relative to the elements is 221 meV/atom. As for the total magnetization: 0.0 Bohr magnetons per cell.



# 6
## Cu2AgB (GGA-PBE)

Data for a relaxed Cu2AgB crystal.

Structure (CIF):
```
data_Cu2AgB
_space_group_name_H-M_alt 'I -4 2 d'
_space_group_IT_number 122
_space_group_name_Hall 'I -4 2bw'
_cell_length_a 4.5115
_cell_length_b 4.5115
_cell_length_c 12.9301
_cell_angle_alpha 90.00
_cell_angle_beta 90.00
_cell_angle_gamma 90.00
loop_
_atom_site_label
_atom_site_fract_x
_atom_site_fract_y
_atom_site_fract_z
_atom_site_occupancy
Cu1 0.0148 0.2500 0.1250 1
Ag1 0.0000 0.0000 0.5000 1
B1 0.0000 0.0000 0.0000 1
```

Properties
The density of states at the Fermi level comes out at 7.36 states/eV per cell. The energy relative to the elements is 743 meV/atom. As for the total magnetization: 0.0 Bohr magnetons per cell.



# 7
## AlV3 (GGA-PBE)

Data for a relaxed AlV3 crystal.

Structure (CIF):
```
data_AlV3
_space_group_name_H-M_alt 'P 1 21/m 1'
_space_group_IT_number 11
_space_group_name_Hall '-P 2yb'
_cell_length_a 5.1121
_cell_length_b 4.1820
_cell_length_c 5.3093
_cell_angle_alpha 90.00
_cell_angle_beta 101.39
_cell_angle_gamma 90.00
loop_
_atom_site_label
_atom_site_fract_x
_atom_site_fract_y
_atom_site_fract_z
_atom_site_occupancy
Al1 0.1376 0.2500 0.4306 1
V1 0.1359 0.2500 0.9350 1
V2 0.3801 0.7500 0.2816 1
V3 0.3804 0.7500 0.8027 1
```

Properties
The density of states at the Fermi level comes out at 9.06 states/eV per cell. The energy relative to the elements is -122 meV/atom. As for the total magnetization: 0.0 Bohr magnetons per cell.



# 8
## UGaIr (GGA-PBE)

Data for a relaxed UGaIr crystal.

Structure (CIF):
```
data_UGaIr
_space_group_name_H-M_alt 'P -6 m 2'
_space_group_IT_number 187
_space_group_name_Hall 'P -6 2'
_cell_length_a 4.5137
_cell_length_b 4.5137
_cell_length_c 3.1116
_cell_angle_alpha 90.00
_cell_angle_beta 90.00
_cell_angle_gamma 120.00
loop_
_atom_site_label
_atom_site_fract_x
_atom_site_fract_y
_atom_site_fract_z
_atom_site_occupancy
U1 0.0000 0.0000 0.0000 1
Ga1 0.6667 0.3333 0.5000 1
Ir1 0.3333 0.6667 0.5000 1
```

Properties
The density of states at the Fermi level comes out at 3.34 states/eV per cell. The energy relative to the elements is -497 meV/atom. As for the total magnetization: 1.5 Bohr magnetons per cell.



Repeat the fifth record exactly.
## TcSn6Ru (GGA-PBE)

Data for a relaxed TcSn6Ru crystal.

Structure (CIF):
```
data_TcSn6Ru
_space_group_name_H-M_alt 'C 1 2/m 1'
_space_group_IT_number 12
_space_group_name_Hall '-C 2y'
_cell_length_a 6.7543
_cell_length_b 9.4260
_cell_length_c 6.7248
_cell_angle_alpha 90.00
_cell_angle_beta 102.04
_cell_angle_gamma 90.00
loop_
_atom_site_label
_atom_site_fract_x
_atom_site_fract_y
_atom_site_fract_z
_atom_site_occupancy
Tc1 0.0000 0.0000 0.0000 1
Sn1 0.2438 0.0000 0.7422 1
Sn2 0.2447 0.3247 0.7514 1
Ru1 0.0000 0.5000 0.5000 1
```

Properties
The density of states at the Fermi level comes out at 9.94 states/eV per cell. The energy relative to the elements is 221 meV/atom. As for the total magnetization: 0.0 Bohr magnetons per cell.